Computed, not measured: a geometry-optimized Cs2LiBr structure at the PBE level of DFT.

Calculated values
ΔE_f (raw) = -13.92 kcal/mol of atoms
energy above the most stable polymorph in this dataset = 0.491 eV per formula unit

abc: 6.6653 6.6653 6.6653
angles: 60.00 60.00 60.00
Last column: nearest neighbours and their distance in Å.
Fractional coordinates of all 4 atoms:
Cs 0.2500 0.2500 0.2500  4 Br 4.08, 4 Li 4.08
Cs 0.7500 0.7500 0.7500  4 Li 4.08, 4 Br 4.08
Li 0.0000 0.0000 0.0000  8 Cs 4.08
Br 0.5000 0.5000 0.5000  8 Cs 4.08

Computed, not measured: a geometry-optimized Cs2LiBr structure at the PBE level of DFT.

Calculated values
ΔE_f (raw) = -16.76 kcal/mol of atoms
energy above the most stable polymorph in this dataset = 0.000 eV per formula unit

abc: 4.5218 4.5218 9.9871
angles: 90.00 90.00 90.00
Last column: nearest neighbours and their distance in Å.
Fractional coordinates of all 4 atoms:
Cs 0.0000 0.0000 0.2113  4 Br 3.83, 1 Cs 4.22
Cs 0.0000 0.0000 0.7887  4 Br 3.83, 1 Cs 4.22
Li 0.5000 0.5000 0.5000  8 Cs 4.31, 4 Li 4.52
Br 0.5000 0.5000 0.0000  8 Cs 3.83

Computed, not measured: a geometry-optimized CsLiBr3 structure at the PBE level of DFT.

Calculated values
ΔE_f (raw) = -27.54 kcal/mol of atoms

abc: 5.4059 5.4059 5.4059
angles: 90.00 90.00 90.00
Last column: nearest neighbours and their distance in Å.
Fractional coordinates of all 5 atoms:
Cs 0.0000 0.0000 0.0000  12 Br 3.82
Li 0.5000 0.5000 0.5000  6 Br 2.70
Br 0.0000 0.5000 0.5000  2 Li 2.70
Br 0.5000 0.0000 0.5000  2 Li 2.70
Br 0.5000 0.5000 0.0000  2 Li 2.70

Computed, not measured: a geometry-optimized Cs5LiBr6 structure at the PBE level of DFT.

Calculated values
ΔE_f (raw) = -38.81 kcal/mol of atoms

abc: 8.8893 8.8893 8.7610
angles: 99.17 99.17 120.81
Last column: nearest neighbours and their distance in Å.
Fractional coordinates of all 12 atoms:
Cs 0.0000 0.0000 0.0000  4 Br 3.56
Cs 0.1706 0.8294 0.5000  6 Br 3.58-3.79
Cs 0.3373 0.6627 0.0000  6 Br 3.55-3.74
Cs 0.6627 0.3373 0.0000  6 Br 3.55-3.74
Cs 0.8294 0.1706 0.5000  6 Br 3.58-3.79
Li 0.5000 0.5000 0.5000  2 Br 2.56
Br 0.0812 0.4100 0.2437  5 Cs 3.55-3.66, 1 Li 3.64
Br 0.3173 0.3173 0.6764  1 Li 2.56
Br 0.4100 0.0812 0.2437  5 Cs 3.55-3.66, 1 Li 3.64
Br 0.5900 0.9188 0.7563  5 Cs 3.55-3.66, 1 Li 3.64
Br 0.6827 0.6827 0.3236  1 Li 2.56
Br 0.9188 0.5900 0.7563  5 Cs 3.55-3.66, 1 Li 3.64

Computed, not measured: a geometry-optimized Cs3LiBr4 structure at the PBE level of DFT.

Calculated values
ΔE_f (raw) = -39.36 kcal/mol of atoms

abc: 10.1753 12.2621 10.6280
angles: 90.00 90.00 90.00
Last column: nearest neighbours and their distance in Å.
Fractional coordinates of all 32 atoms:
Cs 0.0407 0.0465 0.2049  7 Br 3.56-3.98
Cs 0.0407 0.4535 0.2049  7 Br 3.56-3.98
Cs 0.1235 0.7500 0.4201  5 Br 3.53-3.81
Cs 0.3765 0.2500 0.9201  5 Br 3.53-3.81
Cs 0.4593 0.5465 0.7049  7 Br 3.56-3.98
Cs 0.4593 0.9535 0.7049  7 Br 3.56-3.98
Cs 0.5407 0.0465 0.2951  7 Br 3.56-3.98
Cs 0.5407 0.4535 0.2951  7 Br 3.56-3.98
Cs 0.6235 0.7500 0.0799  5 Br 3.53-3.81
Cs 0.8765 0.2500 0.5799  5 Br 3.53-3.81
Cs 0.9593 0.5465 0.7951  7 Br 3.56-3.98
Cs 0.9593 0.9535 0.7951  7 Br 3.56-3.98
Li 0.2178 0.7500 0.9836  4 Br 2.55-2.57
Li 0.2822 0.2500 0.4836  4 Br 2.55-2.57
Li 0.7178 0.7500 0.5164  4 Br 2.55-2.57
Li 0.7822 0.2500 0.0164  4 Br 2.55-2.57
Br 0.0110 0.2500 0.9146  1 Li 2.57
Br 0.1746 0.0684 0.5383  1 Li 2.55
Br 0.1746 0.4316 0.5383  1 Li 2.55
Br 0.2033 0.7500 0.7435  1 Li 2.56
Br 0.2967 0.2500 0.2435  1 Li 2.56
Br 0.3254 0.5684 0.0383  1 Li 2.55
Br 0.3254 0.9316 0.0383  1 Li 2.55
Br 0.4890 0.7500 0.4146  1 Li 2.57
Br 0.5110 0.2500 0.5854  1 Li 2.57
Br 0.6746 0.0684 0.9617  1 Li 2.55
Br 0.6746 0.4316 0.9617  1 Li 2.55
Br 0.7033 0.7500 0.7565  1 Li 2.56
Br 0.7967 0.2500 0.2565  1 Li 2.56
Br 0.8254 0.5684 0.4617  1 Li 2.55
Br 0.8254 0.9316 0.4617  1 Li 2.55
Br 0.9890 0.7500 0.0854  1 Li 2.57

Computed, not measured: a geometry-optimized Cs3Li2Br4 structure at the PBE level of DFT.

Calculated values
ΔE_f (raw) = -33.43 kcal/mol of atoms

abc: 11.9342 11.9342 7.7189
angles: 108.59 108.59 55.40
Last column: nearest neighbours and their distance in Å.
Fractional coordinates of all 18 atoms:
Cs 0.1387 0.8613 0.7500  2 Br 3.72
Cs 0.2042 0.5116 0.1050  5 Br 3.60-3.97
Cs 0.4884 0.7958 0.3950  5 Br 3.60-3.97
Cs 0.5116 0.2042 0.6050  5 Br 3.60-3.97
Cs 0.7958 0.4884 0.8950  5 Br 3.60-3.97
Cs 0.8613 0.1387 0.2500  2 Br 3.72
Li 0.0970 0.3358 0.4260  4 Br 2.52-2.58
Li 0.3358 0.0970 0.9260  4 Br 2.52-2.58
Li 0.6642 0.9030 0.0740  4 Br 2.52-2.58
Li 0.9030 0.6642 0.5740  4 Br 2.52-2.58
Br 0.1334 0.2341 0.0934  2 Li 2.52-2.53
Br 0.1652 0.5199 0.5783  2 Li 2.57-2.58
Br 0.2341 0.1334 0.5934  2 Li 2.52-2.53
Br 0.4801 0.8348 0.9217  2 Li 2.57-2.58
Br 0.5199 0.1652 0.0783  2 Li 2.57-2.58
Br 0.7659 0.8666 0.4066  2 Li 2.52-2.53
Br 0.8348 0.4801 0.4217  2 Li 2.57-2.58
Br 0.8666 0.7659 0.9066  2 Li 2.52-2.53

Computed, not measured: a geometry-optimized Cs3LiMg2Br8 structure at the PBE level of DFT.

Calculated values
ΔE_f (raw) = -37.42 kcal/mol of atoms

abc: 7.8215 7.8215 10.1222
angles: 90.00 90.00 120.00
Last column: nearest neighbours and their distance in Å.
Fractional coordinates of all 14 atoms:
Cs 0.0000 0.0000 0.0000  6 Br 3.97
Cs 0.3333 0.6667 0.6336  10 Br 3.54-3.93
Cs 0.6667 0.3333 0.3664  10 Br 3.54-3.93
Li 0.0000 0.0000 0.5000  6 Br 2.82
Mg 0.3333 0.6667 0.2261  4 Br 2.46-2.52
Mg 0.6667 0.3333 0.7739  4 Br 2.46-2.52
Br 0.1626 0.3253 0.3258  1 Mg 2.52, 1 Li 2.82
Br 0.1626 0.8374 0.3258  1 Mg 2.52, 1 Li 2.82
Br 0.3253 0.1626 0.6742  1 Mg 2.52, 1 Li 2.82
Br 0.3333 0.6667 0.9833  1 Mg 2.46
Br 0.6667 0.3333 0.0167  1 Mg 2.46
Br 0.6747 0.8374 0.3258  1 Mg 2.52, 1 Li 2.82
Br 0.8374 0.1626 0.6742  1 Mg 2.52, 1 Li 2.82
Br 0.8374 0.6747 0.6742  1 Mg 2.52, 1 Li 2.82

Computed, not measured: a geometry-optimized CsLiMgBr4 structure at the PBE level of DFT.

Calculated values
ΔE_f (raw) = -36.08 kcal/mol of atoms

abc: 6.8633 7.6982 9.8242
angles: 90.00 105.79 90.00
Last column: nearest neighbours and their distance in Å.
Fractional coordinates of all 14 atoms:
Cs 0.2440 0.2500 0.4309  9 Br 3.68-4.05
Cs 0.7560 0.7500 0.5691  9 Br 3.68-4.05
Li 0.3691 0.2500 0.0052  3 Br 2.56-2.73
Li 0.6309 0.7500 0.9948  3 Br 2.56-2.73
Mg 0.2708 0.7500 0.1778  4 Br 2.48-2.55
Mg 0.7292 0.2500 0.8222  4 Br 2.48-2.55
Br 0.0142 0.2500 0.0414  1 Mg 2.48, 1 Li 2.56
Br 0.1830 0.7500 0.4088  1 Mg 2.50
Br 0.4710 0.0080 0.8069  1 Mg 2.55, 1 Li 2.73
Br 0.4710 0.4920 0.8069  1 Mg 2.55, 1 Li 2.73
Br 0.5290 0.5080 0.1931  1 Mg 2.55, 1 Li 2.73
Br 0.5290 0.9920 0.1931  1 Mg 2.55, 1 Li 2.73
Br 0.8170 0.2500 0.5912  1 Mg 2.50
Br 0.9858 0.7500 0.9586  1 Mg 2.48, 1 Li 2.56

Computed, not measured: a geometry-optimized Cs2LiMgBr5 structure at the PBE level of DFT.

Calculated values
ΔE_f (raw) = -37.43 kcal/mol of atoms

abc: 10.8015 10.8015 14.5220
angles: 90.00 90.00 156.88
Last column: nearest neighbours and their distance in Å.
Fractional coordinates of all 18 atoms:
Cs 0.1191 0.8809 0.5000  7 Br 3.59-3.95
Cs 0.1274 0.8726 0.1161  7 Br 3.60-3.93
Cs 0.8726 0.1274 0.6161  7 Br 3.60-3.93
Cs 0.8809 0.1191 0.0000  7 Br 3.59-3.95
Li 0.4216 0.5784 0.2517  4 Br 2.48-2.60
Li 0.5784 0.4216 0.7517  4 Br 2.48-2.60
Mg 0.2090 0.7910 0.8290  6 Br 2.60-2.89
Mg 0.7910 0.2090 0.3290  6 Br 2.60-2.89
Br 0.0833 0.9167 0.8447  2 Li 2.55, 1 Mg 2.67
Br 0.2866 0.7134 0.4511  2 Mg 2.80
Br 0.3044 0.6956 0.1981  1 Li 2.60, 2 Mg 2.89
Br 0.3310 0.6690 0.8102  1 Mg 2.60
Br 0.4913 0.5087 0.1143  1 Li 2.48
Br 0.5087 0.4913 0.6143  1 Li 2.48
Br 0.6690 0.3310 0.3102  1 Mg 2.60
Br 0.6956 0.3044 0.6981  1 Li 2.60, 2 Mg 2.89
Br 0.7134 0.2866 0.9511  2 Mg 2.80
Br 0.9167 0.0833 0.3447  2 Li 2.55, 1 Mg 2.67

> ΔE_f (raw) of number 1 (Cs2LiBr)?

-13.92 kcal/mol of atoms